PrHo5Bi5: optimized geometry, PBE.

a b c (Å): 13.9474 6.3096 8.8775
angles (deg): 90.00 108.11 90.00
Space group C2/m (No. 12)
Asymmetric unit:
Pr 0.0000 0.0000 0.0000 [2 per cell]
Ho 0.0000 0.0000 0.5000 [2 per cell]
Ho 0.1597 0.5000 0.3360 [4 per cell]
Ho 0.1660 0.5000 0.8321 [4 per cell]
Bi 0.0000 0.5000 0.0000 [2 per cell]
Bi 0.1699 0.0000 0.3424 [4 per cell]
Bi 0.1731 0.0000 0.8270 [4 per cell]

Summary:
final energy	-4.93	eV per atom
energy of formation from the pure elements	-0.65	eV per atom

---

Pr4HoBi2: optimized geometry, PBE.

a b c (Å): 5.5164 5.5164 17.4037
angles (deg): 90.00 90.00 90.00
Space group I4/mmm (No. 139)
Asymmetric unit:
Pr 0.0000 0.0000 0.1820 [4 per cell]
Pr 0.0000 0.5000 0.0000 [4 per cell]
Ho 0.0000 0.0000 0.0000 [2 per cell]
Bi 0.0000 0.0000 0.3658 [4 per cell]

Summary:
final energy	-4.36	eV per atom
energy of formation from the pure elements	0.14	eV per atom

---

PrHoBi2: optimized geometry, PBE.

a b c (Å): 4.5563 4.5563 22.2629
angles (deg): 90.00 90.00 120.00
Space group R-3m (No. 166, hexagonal axes)
Asymmetric unit:
Pr 0.0000 0.0000 0.0000 [3 per cell]
Ho 0.0000 0.0000 0.5000 [3 per cell]
Bi 0.0000 0.0000 0.2460 [6 per cell]

Summary:
final energy	-5.17	eV per atom
relative energy among the computed polymorphs	0	kJ/mol of formula units
energy of formation from the pure elements	-0.89	eV per atom

---

Pr5HoBi6: optimized geometry, PBE.

a b c (Å): 7.9889 13.8421 7.9917
angles (deg): 90.00 109.53 90.00
Space group C2/m (No. 12)
Asymmetric unit:
Pr 0.0000 0.0000 0.0000 [2 per cell]
Pr 0.0000 0.1658 0.5000 [4 per cell]
Pr 0.0000 0.3308 0.0000 [4 per cell]
Ho 0.0000 0.5000 0.5000 [2 per cell]
Bi 0.2440 0.5000 0.2523 [4 per cell]
Bi 0.2450 0.3364 0.7452 [8 per cell]

Summary:
final energy	-5.25	eV per atom
energy of formation from the pure elements	-0.93	eV per atom

---

PrHoBi2: optimized geometry, PBE.

a b c (Å): 4.5202 4.5202 23.2120
angles (deg): 90.00 90.00 120.00
Space group R3m (No. 160, hexagonal axes)
Asymmetric unit:
Pr 0.0000 0.0000 0.0000 [3 per cell]
Ho 0.0000 0.0000 0.1708 [3 per cell]
Bi 0.0000 0.0000 0.4210 [3 per cell]
Bi 0.0000 0.0000 0.5833 [3 per cell]

Summary:
final energy	-5.06	eV per atom
relative energy among the computed polymorphs	45	kJ/mol of formula units
energy of formation from the pure elements	-0.78	eV per atom

---

Pr2HoBi2: optimized geometry, PBE.

a b c (Å): 8.7467 12.3257 6.5203
angles (deg): 90.00 90.00 90.00
Space group Ibam (No. 72)
Asymmetric unit:
Pr 0.1450 0.1509 0.0000 [8 per cell]
Ho 0.0000 0.5000 0.2500 [4 per cell]
Bi 0.2234 0.1079 0.5000 [8 per cell]

Summary:
final energy	-5.01	eV per atom
energy of formation from the pure elements	-0.63	eV per atom

---

Pr4HoBi5: optimized geometry, PBE.

a b c (Å): 4.6105 4.6105 32.5422
angles (deg): 90.00 90.00 90.00
Space group I4/mmm (No. 139)
Asymmetric unit:
Pr 0.0000 0.0000 0.0994 [4 per cell]
Pr 0.0000 0.0000 0.3010 [4 per cell]
Ho 0.0000 0.0000 0.5000 [2 per cell]
Bi 0.0000 0.0000 0.0000 [2 per cell]
Bi 0.0000 0.0000 0.2000 [4 per cell]
Bi 0.0000 0.0000 0.4024 [4 per cell]

Summary:
final energy	-5.24	eV per atom
energy of formation from the pure elements	-0.93	eV per atom

---

PrHoBi2: optimized geometry, PBE.

a b c (Å): 4.5372 4.5372 15.0149
angles (deg): 90.00 90.00 120.00
Space group P6_3/mmc (No. 194)
Asymmetric unit:
Pr 0.3333 0.6667 0.2500 [2 per cell]
Ho 0.0000 0.0000 0.0000 [2 per cell]
Bi 0.3333 0.6667 0.6171 [4 per cell]

Summary:
final energy	-5.12	eV per atom
relative energy among the computed polymorphs	19	kJ/mol of formula units
energy of formation from the pure elements	-0.84	eV per atom

---

Which of these has the highest energy of formation from the pure elements?
Pr4HoBi2

---

What is the formula in the first record?
PrHo5Bi5

---

Copy entry 1 word for word.
PrHo5Bi5: optimized geometry, PBE.

a b c (Å): 13.9474 6.3096 8.8775
angles (deg): 90.00 108.11 90.00
Space group C2/m (No. 12)
Asymmetric unit:
Pr 0.0000 0.0000 0.0000 [2 per cell]
Ho 0.0000 0.0000 0.5000 [2 per cell]
Ho 0.1597 0.5000 0.3360 [4 per cell]
Ho 0.1660 0.5000 0.8321 [4 per cell]
Bi 0.0000 0.5000 0.0000 [2 per cell]
Bi 0.1699 0.0000 0.3424 [4 per cell]
Bi 0.1731 0.0000 0.8270 [4 per cell]

Summary:
final energy	-4.93	eV per atom
energy of formation from the pure elements	-0.65	eV per atom